Entry 1:
! AcThCuOs PBE optimized geometry; values from VASP
! Fermi-level density of states: 1.05 states/eV per atom
! Space-group type: F-43m
&SYSTEM
  ibrav = 0, nat = 4, ntyp = 4
/
ATOMIC_SPECIES
Ac 227.00 Ac.upf
Os 190.23 Os.upf
Cu 63.55 Cu.upf
Th 232.04 Th.upf
ATOMIC_POSITIONS angstrom
Ac 0.000 0.000 0.000
Os -2.869 1.269 0.365
Cu -8.606 3.806 1.095
Th -5.737 2.537 0.730
CELL_PARAMETERS angstrom
-3.343 3.456 -1.863
-5.060 -0.991 0.106
-3.072 2.609 3.217

---

Entry 2:
! AcTmCuOs PBE optimized geometry; values from VASP
! Fermi-level density of states: 0.70 states/eV per atom
! Space-group type: F-43m
&SYSTEM
  ibrav = 0, nat = 4, ntyp = 4
/
ATOMIC_SPECIES
Ac 227.00 Ac.upf
Tm 168.93 Tm.upf
Os 190.23 Os.upf
Cu 63.55 Cu.upf
ATOMIC_POSITIONS angstrom
Ac 0.000 0.000 0.000
Tm 5.034 2.906 2.055
Os 2.517 1.453 1.028
Cu 7.551 4.359 3.083
CELL_PARAMETERS angstrom
5.034 0.000 0.000
2.517 4.359 0.000
2.517 1.453 4.110

---

Entry 3:
! Ac2CuP PBE optimized geometry; values from VASP
! Offset from the most stable computed form: 9 meV per atom
! Fermi-level density of states: 0.53 states/eV per atom
! Space-group type: R3m
&SYSTEM
  ibrav = 0, nat = 4, ntyp = 3
/
ATOMIC_SPECIES
Ac 227.00 Ac.upf
Cu 63.55 Cu.upf
P 30.97 P.upf
ATOMIC_POSITIONS angstrom
Ac 2.142 1.237 5.939
Ac 2.142 1.237 1.808
Cu 4.284 2.474 3.895
P 4.284 2.474 0.016
CELL_PARAMETERS angstrom
4.284 0.000 0.000
2.142 3.710 0.000
2.142 1.237 7.773

---

Entry 4:
! Ac4Cu2P PBE optimized geometry; values from VASP
! Fermi-level density of states: 1.14 states/eV per atom
! Space-group type: I4/mmm
&SYSTEM
  ibrav = 0, nat = 7, ntyp = 3
/
ATOMIC_SPECIES
P 30.97 P.upf
Ac 227.00 Ac.upf
Cu 63.55 Cu.upf
ATOMIC_POSITIONS angstrom
P 0.000 0.000 0.000
Ac 2.976 2.976 4.186
Ac 0.000 0.000 2.975
Ac 0.000 2.976 0.000
Ac 2.976 0.000 0.000
Cu 2.976 2.976 1.228
Cu 0.000 0.000 5.932
CELL_PARAMETERS angstrom
5.952 0.000 0.000
0.000 5.952 0.000
-2.976 -2.976 7.160

---

Results for total moment: 0.0 0.0 0.0 0.0 (in μB per formula unit, following the order of the records).
Results for formation energy from the elements: 0.16 -0.92 -15.18 -5.89 (in kcal/mol of atoms, following the order of the records).